VASP calculation (PBE) on crystalline Cs2LiCdF at its relaxed geometry.

Lattice parameters (Å, degrees): 6.609 6.609 3.904 90.00 90.00 90.00
Fractional positions:
Cs  0.000  0.500  0.000
Cs  0.500  0.000  0.000
Li  0.000  0.000  0.500
Cd  0.500  0.500  0.500
F  0.000  0.000  0.000

Calculated values
E_tot ... -10.981 eV per formula unit
Calculated density ... 3.935 Mg/m³
Raw formation energy ... -0.9147 eV/atom
Space group ... P4/mmm